# CaSnBr6

A geometry-optimized CaSnBr6 structure (PBE, Alexandria). Values from VASP.

The space group is No. 148. As for the energy relative to the elements, uncorrected: -1.078 eV/atom. As for the magnetic moment: 0.00 μB per cell. As for the total DFT energy (no corrections): -3.083 eV/atom. The volume comes out at 33.04 Å³ per atom.

Quantum ESPRESSO input file:
```
&SYSTEM
  ibrav = 0, nat = 8, ntyp = 3
/
ATOMIC_SPECIES
Br 79.90 Br.upf
Ca 40.08 Ca.upf
Sn 118.71 Sn.upf
CELL_PARAMETERS angstrom
-4.666 2.745 4.369
-6.774 -1.322 -0.865
-3.303 -4.589 4.898
ATOMIC_POSITIONS crystal
Br 0.772 0.066 0.760
Br 0.598 0.228 0.240
Br 0.934 0.598 0.240
Ca 0.500 0.500 0.500
Br 0.228 0.934 0.240
Sn 0.000 0.000 0.000
Br 0.402 0.772 0.760
Br 0.066 0.402 0.760
```